Here is Li2ZrMn after structural relaxation from the Alexandria database. Energies are from PBE-GGA.

Computed properties:
* formation energy from the elements: 349.8 meV per atom
* polymorph energy (0 for the lowest one): 0.162 eV/atom
* theoretical density: 3602 kg/m3

a b c (Å): 2.829 2.829 10.251
angles (deg): 90.00 90.00 115.94
Each line ends with the local moment (μB).
Fractional coordinates of all 4 atoms:
Li 0.000 0.000 0.020  0.03
Li 0.000 0.000 0.480  0.03
Mn 0.500 0.500 0.250  -3.63
Zr 0.500 0.500 0.750  0.02